TbZrCS after structural relaxation. Source: OQMD, functional PBE.

Lattice parameters (Å, degrees): 3.545 3.545 12.703 90.00 90.00 120.00
Atoms (fractional coordinates):
S: 0.333 0.667 0.241
C: 0.000 0.000 0.511
C: 0.000 0.000 0.011
Tb: 0.667 0.333 0.396
Zr: 0.667 0.333 0.102
S: 0.667 0.333 0.741
Zr: 0.333 0.667 0.602
Tb: 0.333 0.667 0.896

## Properties
The offset from the most stable computed form comes out at 0.0 meV per atom. As for the total magnetization: 0.001 μB per atom. The raw total energy comes out at -31.60 eV/f.u.